Computed, not measured: a relaxed structure of V2GeO at the GGA+U level of DFT.

E above lowest polymorph   0.0000 eV per atom
Magnetization   4.2 μB per formula unit

a b c (Å): 6.151 6.151 6.319
angles (deg): 90.00 90.00 90.00
Space group I-42d (No. 122)
Inequivalent atoms, fractional coordinates:
V  0.162  0.250  0.125
Ge  0.000  0.000  0.500
O  0.000  0.000  0.000